# PBE-GGA ReC, relaxed
# Crystal system = cubic
# ΔE to the lowest computed polymorph = 0.8451 eV/atom
data_ReC
_chemical_formula_sum 'Re1 C1'
_space_group_name_H-M_alt 'P m -3 m'
_space_group_IT_number 221
_space_group_name_Hall '-P 4 2 3'
_cell_length_a 2.694
_cell_length_b 2.694
_cell_length_c 2.694
_cell_angle_alpha 90.00
_cell_angle_beta 90.00
_cell_angle_gamma 90.00
loop_
_atom_site_label
_atom_site_type_symbol
_atom_site_fract_x
_atom_site_fract_y
_atom_site_fract_z
Re1 Re 0.000 0.000 0.000
C1 C 0.500 0.500 0.500